Mg2HPd PBE relaxed; magnetization = 0.00 μB per cell; offset from the most stable computed form = 0 meV/atom
1.0
-0.148 2.813 -1.287
-1.942 2.125 1.142
4.180 3.835 4.172
H Mg Pd
1 2 1
Cartesian
0.000 0.000 0.000
1.796 6.682 3.218
0.293 2.090 0.808
1.045 4.386 2.013